# 1
Compound: Nd15DyY4
Source: the Alexandria database
Functional: PBE
Structure: relaxed

```
Nd15DyY4
1.0
5.173 0.000 0.000
0.000 5.173 0.000
0.000 0.000 25.749
Nd Dy Y
15 1 4
direct
0.500 0.500 0.000
0.500 0.500 0.200
0.500 0.500 0.400
0.500 0.500 0.600
0.500 0.500 0.800
0.500 0.000 0.100
0.500 0.000 0.300
0.500 0.000 0.500
0.500 0.000 0.700
0.500 0.000 0.900
0.000 0.500 0.100
0.000 0.500 0.300
0.000 0.500 0.500
0.000 0.500 0.700
0.000 0.500 0.900
0.000 0.000 0.000
0.000 0.000 0.200
0.000 0.000 0.400
0.000 0.000 0.600
0.000 0.000 0.800
```

Calculated values
Its crystal system is tetragonal. The calculation puts the theoretical density at 6.46 g/cm3. The value obtained for the volume is 34.457 Å³ per atom.

=====

# 2
Compound: ScZn4
Source: the Alexandria database
Functional: PBE
Structure: relaxed

```
ScZn4
1.0
-4.404 -0.494 0.622
-1.657 -4.964 0.430
-1.405 -1.790 4.732
Sc Zn
1 4
direct
0.000 0.000 0.000
0.667 0.089 0.577
0.667 0.577 0.089
0.333 0.423 0.911
0.333 0.911 0.423
```

Calculated values
Its crystal system is orthorhombic. The calculation puts the theoretical density at 5.42 g/cm3. The value obtained for the volume is 18.800 Å³ per atom.

=====

# 3
Compound: CsMgBe2Br8
Source: the Alexandria database
Functional: PBE
Structure: relaxed

```
CsMgBe2Br8
1.0
-3.246 5.612 1.191
-6.448 -0.147 1.362
-1.183 0.968 10.454
Cs Mg Be Br
1 1 2 8
direct
0.500 0.500 0.500
0.000 0.000 0.000
0.259 0.259 0.224
0.741 0.741 0.776
0.185 0.185 0.445
0.603 0.274 0.159
0.815 0.815 0.555
0.964 0.603 0.159
0.036 0.397 0.841
0.274 0.964 0.159
0.726 0.036 0.841
0.397 0.726 0.841
```

Calculated values
Its crystal system is trigonal. The calculation puts the theoretical density at 3.65 g/cm3. The calculation puts the formation energy (no corrections) at -1099 meV per atom. The value obtained for the volume is 30.908 Å³ per atom.

=====

no.,electronic total energy (eV per atom)
1,-5.0893
2,-2.3329
3,-3.0397